{"formula": "MoHOs", "functional": "PBE-GGA", "state": "optimized geometry", "total_magnetization_mub_per_fu": 0.00, "n_ef_per_ev_fu": 1.8, "volume_a3_per_fu": 31.95, "e_above_lowest_polymorph_mev_per_atom": 0, "lattice_angstrom": [[4.966, 0.000, 0.000], [0.000, 5.707, 0.000], [0.000, 0.000, 4.509]], "species": ["Mo", "Mo", "Mo", "Mo", "H", "H", "H", "H", "Os", "Os", "Os", "Os"], "frac_coords": [[0.087, 0.124, 0.000], [0.413, 0.624, 0.500], [0.587, 0.376, 0.000], [0.913, 0.876, 0.500], [0.246, 0.873, 0.748], [0.254, 0.373, 0.248], [0.746, 0.627, 0.748], [0.754, 0.127, 0.248], [0.085, 0.628, 0.010], [0.415, 0.128, 0.510], [0.585, 0.872, 0.010], [0.915, 0.372, 0.510]]}

=====

{"formula": "Tl3In3HgBi2", "functional": "PBE-GGA", "state": "optimized geometry", "total_magnetization_mub_per_fu": 0.00, "n_ef_per_ev_fu": 4.0, "volume_a3_per_fu": 270.05, "ef_mev_per_atom": 22, "lattice_angstrom": [[9.481, 0.000, 0.000], [-4.741, 8.211, 0.000], [0.000, 0.000, 3.469]], "species": ["Tl", "Tl", "Tl", "In", "In", "In", "Hg", "Bi", "Bi"], "frac_coords": [[0.000, 0.707, 0.000], [0.293, 0.293, 0.000], [0.707, 0.000, 0.000], [0.000, 0.363, 0.500], [0.363, 0.000, 0.500], [0.637, 0.637, 0.500], [0.000, 0.000, 0.500], [0.333, 0.667, 0.000], [0.667, 0.333, 0.000]]}

=====

{"formula": "K3Sm2PaSe6", "functional": "PBE-GGA", "state": "optimized geometry", "total_magnetization_mub_per_fu": 1.80, "raw_formation_energy_mev_per_atom": -1597, "n_ef_per_ev_fu": 7.4, "volume_a3_per_fu": 364.32, "lattice_angstrom": [[3.689, -6.388, 0.000], [3.689, 6.388, 0.000], [-2.459, 0.000, 7.731]], "species": ["K", "K", "K", "Sm", "Sm", "Pa", "Se", "Se", "Se", "Se", "Se", "Se"], "frac_coords": [[0.000, 0.000, 0.000], [0.331, 0.669, 0.000], [0.669, 0.331, 0.000], [0.166, 0.834, 0.500], [0.834, 0.166, 0.500], [0.500, 0.500, 0.500], [0.103, 0.430, 0.290], [0.244, 0.244, 0.711], [0.430, 0.103, 0.290], [0.570, 0.897, 0.710], [0.756, 0.756, 0.289], [0.897, 0.570, 0.710]]}

=====

{"formula": "CdAsOF2", "functional": "PBE-GGA", "state": "optimized geometry", "total_magnetization_mub_per_fu": 1.02, "raw_formation_energy_mev_per_atom": -608, "n_ef_per_ev_fu": 2.6, "volume_a3_per_fu": 82.03, "e_above_lowest_polymorph_mev_per_atom": 483, "lattice_angstrom": [[4.260, 0.000, 0.000], [0.000, 4.260, 0.000], [0.000, 0.000, 4.519]], "species": ["Cd", "As", "O", "F", "F"], "frac_coords": [[0.000, 0.000, 0.000], [0.500, 0.500, 0.500], [0.000, 0.000, 0.500], [0.000, 0.500, 0.000], [0.500, 0.000, 0.000]]}

=====

{"formula": "Ca3AcSe4O12", "functional": "PBE-GGA", "state": "optimized geometry", "total_magnetization_mub_per_fu": 0.00, "raw_formation_energy_mev_per_atom": -1568, "n_ef_per_ev_fu": 6.2, "volume_a3_per_fu": 329.54, "lattice_angstrom": [[5.704, 3.293, 2.924], [-5.704, 3.293, 2.924], [0.000, -6.586, 2.924]], "species": ["Ca", "Ca", "Ca", "Ac", "Se", "Se", "Se", "Se", "O", "O", "O", "O", "O", "O", "O", "O", "O", "O", "O", "O"], "frac_coords": [[0.000, 0.575, 0.425], [0.425, 0.000, 0.575], [0.575, 0.425, 0.000], [0.000, 0.000, 0.000], [0.102, 0.500, 0.898], [0.500, 0.500, 0.500], [0.500, 0.898, 0.102], [0.898, 0.102, 0.500], [0.008, 0.671, 0.771], [0.049, 0.951, 0.500], [0.229, 0.329, 0.992], [0.329, 0.992, 0.229], [0.340, 0.660, 0.500], [0.500, 0.049, 0.951], [0.500, 0.340, 0.660], [0.660, 0.500, 0.340], [0.671, 0.771, 0.008], [0.771, 0.008, 0.671], [0.951, 0.500, 0.049], [0.992, 0.229, 0.329]]}

=====

{"formula": "PdIO2F", "functional": "PBE-GGA", "state": "optimized geometry", "total_magnetization_mub_per_fu": 4.22, "raw_formation_energy_mev_per_atom": 936, "n_ef_per_ev_fu": 3.9, "volume_a3_per_fu": 81.47, "lattice_angstrom": [[4.346, 0.000, 0.000], [0.000, 4.346, 0.000], [0.000, 0.000, 4.313]], "species": ["Pd", "I", "O", "O", "F"], "frac_coords": [[0.000, 0.000, 0.000], [0.500, 0.500, 0.000], [0.000, 0.500, 0.500], [0.500, 0.000, 0.500], [0.500, 0.500, 0.500]]}

=====

{"formula": "LaBeTl2", "functional": "PBE-GGA", "state": "optimized geometry", "total_magnetization_mub_per_fu": 0.00, "n_ef_per_ev_fu": 1.6, "volume_a3_per_fu": 101.54, "ef_mev_per_atom": -14, "e_above_lowest_polymorph_mev_per_atom": 0, "lattice_angstrom": [[3.895, -2.253, 0.000], [3.895, 2.253, 0.000], [-2.599, 0.000, 5.785]], "species": ["La", "Be", "Tl", "Tl"], "frac_coords": [[0.000, 0.000, 0.000], [0.500, 0.500, 0.500], [0.221, 0.221, 0.662], [0.779, 0.779, 0.338]]}

=====

{"formula": "LaCd2Pb2", "functional": "PBE-GGA", "state": "optimized geometry", "total_magnetization_mub_per_fu": 0.00, "n_ef_per_ev_fu": 1.7, "volume_a3_per_fu": 146.53, "ef_mev_per_atom": -206, "e_above_lowest_polymorph_mev_per_atom": 117, "lattice_angstrom": [[-2.256, 2.256, 7.196], [2.256, -2.256, 7.196], [2.256, 2.256, -7.196]], "species": ["La", "Cd", "Cd", "Pb", "Pb"], "frac_coords": [[0.000, 0.000, 0.000], [0.250, 0.750, 0.500], [0.750, 0.250, 0.500], [0.393, 0.393, 0.000], [0.607, 0.607, 0.000]]}

=====

no.,E (eV per atom)
1,-8.4366
2,-2.5752
3,-5.1915
4,-3.4607
5,-5.7451
6,-2.7699
7,-3.3602
8,-3.0408